A plane-wave DFT calculation with PBE was carried out for a relaxed AgHAu3 crystal.

Geometry as POSCAR:
```
AgHAu3
1.0
-1.1036 -4.6119 -2.0892
-0.8422 -1.9412 4.7302
-4.9925 1.3470 -0.3362
H Au Ag
1 3 1
Cartesian
-3.4691 -2.6031 1.1524
-0.4211 -0.9706 2.3651
-2.4962 0.6735 -0.1681
-0.5518 -2.3059 -1.0446
0.0000 0.0000 0.0000
```

As for the space group: Pm-3m (221). Its energy above the most stable polymorph in this dataset is 1.058 eV per atom.

A plane-wave DFT calculation with PBE was carried out for a relaxed K2CoHg crystal.

Geometry as POSCAR:
```
K2CoHg
1.0
-2.9491 4.8228 0.5397
-3.2326 -1.4804 -4.4279
-2.7439 -1.9760 2.6639
Co Hg K
1 1 2
Cartesian
-2.8465 1.4234 1.6018
-2.9883 -1.7282 -0.8820
0.0000 0.0000 0.0000
-3.0909 1.6712 -1.9441
```

The calculation puts the energy of formation at 0.592 eV per atom. As for the space group: P4/mmm (123).

A plane-wave DFT calculation with PBE was carried out for a relaxed BaPm2Sn6 crystal.

Geometry as POSCAR:
```
BaPm2Sn6
1.0
-1.9052 -3.1355 2.7147
1.6701 -7.8328 -4.0383
6.7862 -5.3340 2.4385
Ba Pm Sn
1 2 6
Cartesian
0.0000 0.0000 0.0000
3.6801 -11.0328 1.3496
2.8710 -5.2695 -0.2348
2.7588 -5.5406 3.2100
3.7923 -10.7617 -2.0952
6.6899 -9.3464 1.5731
2.3614 -8.5976 -0.5999
4.1897 -7.7046 1.7147
-0.1388 -6.9558 -0.4583
```

The calculation puts the energy of formation at -0.454 eV per atom. As for the space group: Immm (71).

A plane-wave DFT calculation with PBE was carried out for a relaxed CaTaFeN3 crystal.

Geometry as POSCAR:
```
CaTaFeN3
1.0
-2.1476 1.0683 2.0584
-3.8555 -5.3197 -1.2617
4.3825 -2.1638 5.6955
Ca Ta Fe N
2 2 2 6
Cartesian
-1.2389 -5.2755 5.0855
-0.3817 -1.1397 1.4067
-2.4544 -3.5819 0.5116
0.8338 -2.8334 5.9806
1.7421 -1.5377 3.8291
-3.3627 -4.8775 2.6631
-1.6176 -5.0217 2.1319
-4.3886 -4.1474 1.2139
-2.6748 -1.8256 1.7970
-0.0030 -1.3936 4.3603
1.0542 -4.5896 4.6953
2.7680 -2.2678 5.2783
```

The formation energy from raw total energies is -802 meV per atom. As for the space group: P2_1/m (11).

A plane-wave DFT calculation with PBE was carried out for a relaxed Pr8Sb2Ir3 crystal.

Geometry as POSCAR:
```
Pr8Sb2Ir3
1.0
7.1442 0.0000 0.2740
0.0000 8.3177 0.0000
-2.5888 -4.1588 7.7359
Pr Sb Ir
8 2 3
Cartesian
5.8774 4.1588 1.7127
-1.3221 0.0000 6.2971
5.9404 0.0000 1.8020
-1.3851 4.1588 6.2079
2.2654 2.1709 6.2518
2.2654 -2.1709 6.2518
2.2899 6.3297 1.7581
2.2899 1.9880 1.7581
1.0715 0.0000 4.0797
3.4838 4.1588 3.9302
3.5721 0.0000 0.1370
0.0000 2.0961 0.0000
0.0000 6.2216 0.0000
```

The formation energy from raw total energies is -601 meV per atom. As for the space group: C2/m (12).

A plane-wave DFT calculation with PBE was carried out for a relaxed MgNiW crystal.

Geometry as POSCAR:
```
MgNiW
1.0
-1.1778 -2.5067 0.4144
1.6805 0.4106 -2.2023
5.3384 -1.8933 3.7206
Mg Ni W
1 1 1
Cartesian
0.0955 -0.0339 0.0665
2.5523 -1.2089 -0.0584
3.1933 -2.7466 1.9246
```

The calculation puts the energy of formation at 0.281 eV per atom. As for the space group: P3m1 (156). Its energy above the most stable polymorph in this dataset is 0.194 eV per atom.

Please write out number 3 again, unchanged.
A plane-wave DFT calculation with PBE was carried out for a relaxed BaPm2Sn6 crystal.

Geometry as POSCAR:
```
BaPm2Sn6
1.0
-1.9052 -3.1355 2.7147
1.6701 -7.8328 -4.0383
6.7862 -5.3340 2.4385
Ba Pm Sn
1 2 6
Cartesian
0.0000 0.0000 0.0000
3.6801 -11.0328 1.3496
2.8710 -5.2695 -0.2348
2.7588 -5.5406 3.2100
3.7923 -10.7617 -2.0952
6.6899 -9.3464 1.5731
2.3614 -8.5976 -0.5999
4.1897 -7.7046 1.7147
-0.1388 -6.9558 -0.4583
```

The calculation puts the energy of formation at -0.454 eV per atom. As for the space group: Immm (71).